Record 1
Material: Li2OsW
Method: DFT, PBEsol
State: relaxed

Summary:
density = 11.3 Mg/m³
energy relative to the elements = 0.405 eV per atom
DOS at the Fermi energy = 1.92 states/eV/f.u.
offset from the most stable computed form = 4.2 kJ/mol of atoms

a = 3.5504 Å, b = 3.5504 Å, c = 4.5362 Å
α = 90.00°, β = 90.00°, γ = 90.00°
Last column: nearest neighbours and their distance in Å.
Element x y z (fractional)
1 Li 0.0000 0.5000 0.0000  4 Li 2.51
2 Li 0.5000 0.0000 0.0000  4 Li 2.51
3 Os 0.5000 0.5000 0.5000  4 W 2.51
4 W 0.0000 0.0000 0.5000  4 Os 2.51



Record 2
Material: CdHgSe2Br
Method: DFT, PBEsol
State: relaxed

Summary:
density = 6.4 Mg/m³
DOS at the Fermi energy = 3.33 states/eV/f.u.
uncorrected energy = -9.3 eV per cell

a = 5.1921 Å, b = 5.1921 Å, c = 5.2814 Å
α = 90.00°, β = 90.00°, γ = 90.00°
Last column: nearest neighbours and their distance in Å.
Element x y z (fractional)
1 Se 0.0000 0.5000 0.0000  2 Hg 2.60
2 Se 0.5000 0.0000 0.0000  2 Hg 2.60
3 Hg 0.0000 0.0000 0.0000  4 Se 2.60, 2 Br 2.64
4 Br 0.0000 0.0000 0.5000  2 Hg 2.64
5 Cd 0.5000 0.5000 0.5000  4 Br 3.67, 8 Se 3.70



Record 3
Material: AgHBr2
Method: DFT, PBEsol
State: relaxed

Summary:
density = 5.9 Mg/m³
DOS at the Fermi energy = 5.09 states/eV/f.u.
uncorrected energy = -8.1 eV per cell

a = 4.7360 Å, b = 4.7360 Å, c = 4.7360 Å
α = 60.00°, β = 60.00°, γ = 60.00°
Last column: nearest neighbours and their distance in Å.
Element x y z (fractional)
1 H 0.0000 0.0000 0.0000  8 Br 2.90
2 Br 0.2500 0.2500 0.2500  4 H 2.90, 4 Ag 2.90
3 Br 0.7500 0.7500 0.7500  4 H 2.90, 4 Ag 2.90
4 Ag 0.5000 0.5000 0.5000  8 Br 2.90



Record 4
Material: Ta2CrIn
Method: DFT, PBEsol
State: relaxed

Summary:
density = 13.0 Mg/m³
energy relative to the elements = 0.355 eV per atom
DOS at the Fermi energy = 4.67 states/eV/f.u.

a = 4.5699 Å, b = 4.5699 Å, c = 4.5699 Å
α = 60.00°, β = 60.00°, γ = 60.00°
Last column: nearest neighbours and their distance in Å.
Element x y z (fractional)
1 Cr 0.5000 0.5000 0.5000  4 Ta 2.80, 4 In 2.80
2 In 0.2500 0.2500 0.2500  4 Cr 2.80, 4 Ta 2.80
3 Ta 0.0000 0.0000 0.0000  4 Ta 2.80, 4 In 2.80
4 Ta 0.7500 0.7500 0.7500  4 Ta 2.80, 4 Cr 2.80



Record 5
Material: PRhCl2
Method: DFT, PBEsol
State: relaxed

Summary:
density = 5.2 Mg/m³
DOS at the Fermi energy = 3.58 states/eV/f.u.
offset from the most stable computed form = 102.7 kJ/mol of atoms

a = 3.8638 Å, b = 4.1400 Å, c = 4.1400 Å
α = 98.56°, β = 90.00°, γ = 90.00°
Last column: nearest neighbours and their distance in Å.
Element x y z (fractional)
1 Cl 0.0000 0.7726 0.2274  2 Rh 2.40, 2 P 2.58
2 Cl 0.0000 0.2274 0.7726  2 Rh 2.40, 2 P 2.58
3 P 0.5000 0.5000 0.5000  4 Cl 2.58, 2 Rh 2.70
4 Rh 0.5000 0.0000 0.0000  4 Cl 2.40



Record 6
Material: Ca2ScCr
Method: DFT, PBEsol
State: relaxed

Summary:
density = 2.7 Mg/m³
energy relative to the elements = 0.370 eV per atom
DOS at the Fermi energy = 4.27 states/eV/f.u.
offset from the most stable computed form = 0.0 kJ/mol of atoms

a = 3.4986 Å, b = 3.4986 Å, c = 8.8431 Å
α = 90.00°, β = 90.00°, γ = 90.00°
Last column: nearest neighbours and their distance in Å.
Element x y z (fractional)
1 Sc 0.5000 0.5000 0.6855  4 Cr 2.81
2 Cr 0.0000 0.0000 0.5350  4 Sc 2.81
3 Ca 0.0000 0.0000 0.9693  8 Ca 3.50-3.90, 4 Sc 3.52, 1 Cr 3.84
4 Ca 0.5000 0.5000 0.3102  4 Cr 3.17, 1 Sc 3.32, 4 Ca 3.50



Record 7
Material: ZrSn2PbI
Method: DFT, PBEsol
State: relaxed

Summary:
density = 6.1 Mg/m³
DOS at the Fermi energy = 7.22 states/eV/f.u.
uncorrected energy = -17.9 eV per cell

a = 5.5911 Å, b = 5.5911 Å, c = 5.7762 Å
α = 90.00°, β = 90.00°, γ = 90.00°
Last column: nearest neighbours and their distance in Å.
Element x y z (fractional)
1 Pb 0.0000 0.0000 0.0000  4 Sn 2.80, 2 I 2.89
2 I 0.0000 0.0000 0.5000  2 Pb 2.89
3 Sn 0.0000 0.5000 0.0000  2 Pb 2.80
4 Sn 0.5000 0.0000 0.0000  2 Pb 2.80
5 Zr 0.5000 0.5000 0.5000  4 I 3.95, 8 Sn 4.02



Record 8
Material: AlPbSe2
Method: DFT, PBEsol
State: relaxed

Summary:
density = 5.1 Mg/m³
DOS at the Fermi energy = 2.99 states/eV/f.u.
uncorrected energy = -16.0 eV per cell

a = 4.2827 Å, b = 4.2827 Å, c = 8.4343 Å
α = 75.29°, β = 75.29°, γ = 60.00°
Last column: nearest neighbours and their distance in Å.
Element x y z (fractional)
1 Pb 0.5000 0.5000 0.5000  6 Se 3.01
2 Al 0.0000 0.0000 0.0000  2 Se 2.32
3 Se 0.9040 0.9040 0.2879  1 Al 2.32
4 Se 0.0960 0.0960 0.7121  1 Al 2.32



- Look up the density of the sixth one.
  2.7 Mg/m³



- The highest DOS at the Fermi energy belongs to which entry?
  ZrSn2PbI



- The lowest DOS at the Fermi energy belongs to which entry?
  Li2OsW



Please write out number 8 again, unchanged.
Material: AlPbSe2
Method: DFT, PBEsol
State: relaxed

Summary:
density = 5.1 Mg/m³
DOS at the Fermi energy = 2.99 states/eV/f.u.
uncorrected energy = -16.0 eV per cell

a = 4.2827 Å, b = 4.2827 Å, c = 8.4343 Å
α = 75.29°, β = 75.29°, γ = 60.00°
Last column: nearest neighbours and their distance in Å.
Element x y z (fractional)
1 Pb 0.5000 0.5000 0.5000  6 Se 3.01
2 Al 0.0000 0.0000 0.0000  2 Se 2.32
3 Se 0.9040 0.9040 0.2879  1 Al 2.32
4 Se 0.0960 0.0960 0.7121  1 Al 2.32